# 1
VASP calculation (PBE-GGA) on crystalline V2TcSbCl at its relaxed geometry.

abc: 5.016 5.016 5.034
angles: 90.00 90.00 90.00
Fractional positions:
V 0.000 0.500 0.000
V 0.500 0.000 0.000
Tc 0.000 0.000 0.500
Sb 0.000 0.000 0.000
Cl 0.500 0.500 0.500

Values from the calculation:
- Calculated total energy: -5.20 eV per atom
- E_form (uncorrected): 1718 meV/atom
- Distance to the lowest polymorph of the same formula: 5.61 eV/f.u.

# 2
VASP calculation (PBE-GGA) on crystalline InRhO4 at its relaxed geometry.

abc: 5.751 5.751 5.751
angles: 108.93 108.93 110.56
Fractional positions:
In 0.000 0.000 0.000
In 0.750 0.250 0.500
Rh 0.242 0.742 0.500
Rh 0.492 0.492 0.000
O 0.017 0.328 0.312
O 0.017 0.705 0.688
O 0.078 0.267 0.812
O 0.455 0.267 0.188
O 0.481 0.181 0.700
O 0.481 0.782 0.300
O 0.532 0.731 0.800
O 0.931 0.731 0.200

Values from the calculation:
- Calculated total energy: -5.86 eV per atom
- E_form (uncorrected): -878 meV/atom
- Distance to the lowest polymorph of the same formula: 0.23 eV/f.u.

# 3
VASP calculation (PBE-GGA) on crystalline CoCuCl5 at its relaxed geometry.

abc: 6.979 6.979 8.900
angles: 108.62 108.62 100.47
Fractional positions:
Co 0.118 0.882 0.750
Co 0.882 0.118 0.250
Cu 0.500 0.500 0.000
Cu 0.500 0.500 0.500
Cl 0.182 0.233 0.848
Cl 0.213 0.764 0.542
Cl 0.233 0.182 0.348
Cl 0.236 0.787 0.958
Cl 0.443 0.557 0.250
Cl 0.557 0.443 0.750
Cl 0.764 0.213 0.042
Cl 0.767 0.818 0.652
Cl 0.787 0.236 0.458
Cl 0.818 0.767 0.152

Values from the calculation:
- Calculated total energy: -3.37 eV per atom
- E_form (uncorrected): -447 meV/atom

Copy entry 2 word for word.
VASP calculation (PBE-GGA) on crystalline InRhO4 at its relaxed geometry.

abc: 5.751 5.751 5.751
angles: 108.93 108.93 110.56
Fractional positions:
In 0.000 0.000 0.000
In 0.750 0.250 0.500
Rh 0.242 0.742 0.500
Rh 0.492 0.492 0.000
O 0.017 0.328 0.312
O 0.017 0.705 0.688
O 0.078 0.267 0.812
O 0.455 0.267 0.188
O 0.481 0.181 0.700
O 0.481 0.782 0.300
O 0.532 0.731 0.800
O 0.931 0.731 0.200

Values from the calculation:
- Calculated total energy: -5.86 eV per atom
- E_form (uncorrected): -878 meV/atom
- Distance to the lowest polymorph of the same formula: 0.23 eV/f.u.

- What is the calculated total energy in the first record?
  -5.20 eV per atom

- calculated total energy of number 3 (CoCuCl5)?
  -3.37 eV per atom

What did the third record say?
VASP calculation (PBE-GGA) on crystalline CoCuCl5 at its relaxed geometry.

abc: 6.979 6.979 8.900
angles: 108.62 108.62 100.47
Fractional positions:
Co 0.118 0.882 0.750
Co 0.882 0.118 0.250
Cu 0.500 0.500 0.000
Cu 0.500 0.500 0.500
Cl 0.182 0.233 0.848
Cl 0.213 0.764 0.542
Cl 0.233 0.182 0.348
Cl 0.236 0.787 0.958
Cl 0.443 0.557 0.250
Cl 0.557 0.443 0.750
Cl 0.764 0.213 0.042
Cl 0.767 0.818 0.652
Cl 0.787 0.236 0.458
Cl 0.818 0.767 0.152

Values from the calculation:
- Calculated total energy: -3.37 eV per atom
- E_form (uncorrected): -447 meV/atom